This record from Alexandria describes a geometry-optimized NaUVO6 structure. The functional is PBE with a Hubbard U.

Lattice parameters (Å, degrees): 5.661 5.661 5.120 91.35 91.35 125.99
Positions (direct):
Na1 0.000 0.000 0.000
U1 0.317 0.683 0.500
V1 0.627 0.373 0.500
O1 0.373 0.363 0.699
O2 0.379 0.039 0.293
O3 0.616 0.006 0.716
O4 0.637 0.627 0.301
O5 0.961 0.621 0.707
O6 0.994 0.384 0.284

Computed properties:
Electronic total energy: -7.938 eV/atom
Theoretical density: 5.110 g/cm³
Fermi-level density of states: 0.00 states/eV per cell
Magnetization: 0.00 Bohr magnetons per cell